Version A
NaMn3N after structural relaxation. Source: Alexandria via LeMat-Bulk, functional PBE.

The calculation puts the volume at 22.17 Å³/atom. The density of states at the Fermi level is 4.5 states/eV/f.u. The value obtained for the spin magnetization is 11.5 μB per formula unit.

It has space group Pm-3m (No. 221), with a = 4.8040 Å, b = 4.8040 Å, c = 4.8040 Å, α = 90.00°, β = 90.00° and γ = 90.00°. The inequivalent atoms are Na at (0.0000, 0.0000, 0.0000), Mn at (0.0000, 0.0000, 0.5000) and N at (0.5000, 0.5000, 0.5000).


Version B
NaMn3N after structural relaxation. Source: Alexandria via LeMat-Bulk, functional PBE.

The calculation puts the volume at 12.47 Å³/atom. The density of states at the Fermi level is 3.2 states/eV/f.u. The value obtained for the spin magnetization is 7.2 μB per formula unit.

It has space group Pm-3m (No. 221), with a = 3.9652 Å, b = 3.9652 Å, c = 3.9652 Å, α = 90.00°, β = 90.00° and γ = 90.00°. The inequivalent atoms are Na at (0.0000, 0.0000, 0.0000), Mn at (0.0000, 0.5000, 0.5000) and N at (0.5000, 0.5000, 0.5000).


Energies relative to the minimum, eV/atom: version A 2.353; version B 0.000


Version A
NaMnN2 after structural relaxation. Source: Alexandria via LeMat-Bulk, functional PBE.

The calculation puts the volume at 13.35 Å³/atom. The density of states at the Fermi level is 2.6 states/eV/f.u. The value obtained for the spin magnetization is 0.0 μB per formula unit.

It has space group Pna2_1 (No. 33), with a = 5.5864 Å, b = 7.0300 Å, c = 5.4381 Å, α = 90.00°, β = 90.00° and γ = 90.00°. The inequivalent atoms are Na at (0.0891, 0.1228, 0.0000), Mn at (0.0627, 0.6276, 0.0128), N at (0.0181, 0.5564, 0.3169) and N at (0.1320, 0.1832, 0.4595).


Version B
NaMnN2 after structural relaxation. Source: Alexandria via LeMat-Bulk, functional PBE.

The calculation puts the volume at 13.82 Å³/atom. The density of states at the Fermi level is 1.4 states/eV/f.u. The value obtained for the spin magnetization is 2.3 μB per formula unit.

It has space group R-3m (No. 166, hexagonal axes), with a = 3.0752 Å, b = 3.0752 Å, c = 20.2500 Å, α = 90.00°, β = 90.00° and γ = 120.00°. The inequivalent atoms are Na at (0.0000, 0.0000, 0.0000), Mn at (0.0000, 0.0000, 0.5000) and N at (0.0000, 0.0000, 0.4167).


Version C
NaMnN2 after structural relaxation. Source: Alexandria via LeMat-Bulk, functional PBE.

The calculation puts the volume at 11.12 Å³/atom. The density of states at the Fermi level is 1.3 states/eV/f.u. The value obtained for the spin magnetization is 0.0 μB per formula unit.

It has space group R-3m (No. 166, hexagonal axes), with a = 2.7887 Å, b = 2.7887 Å, c = 19.8059 Å, α = 90.00°, β = 90.00° and γ = 120.00°. The inequivalent atoms are Na at (0.0000, 0.0000, 0.0000), Mn at (0.0000, 0.0000, 0.5000) and N at (0.0000, 0.0000, 0.1111).


Energies relative to the minimum, eV/atom: version A 0.000; version B 1.183; version C 0.609


Version A
NaMnN2 after structural relaxation. Source: Alexandria via LeMat-Bulk, functional PBE.

The calculation puts the volume at 13.24 Å³/atom. The density of states at the Fermi level is 2.5 states/eV/f.u. The value obtained for the spin magnetization is 0.0 μB per formula unit.

It has space group I-42d (No. 122), with a = 5.0689 Å, b = 5.0689 Å, c = 8.2471 Å, α = 90.00°, β = 90.00° and γ = 90.00°. The inequivalent atoms are Na at (0.0000, 0.0000, 0.0000), Mn at (0.0000, 0.0000, 0.5000) and N at (0.1237, 0.2500, 0.6250).


Version B
NaMnN2 after structural relaxation. Source: Alexandria via LeMat-Bulk, functional PBE.

The calculation puts the volume at 9.43 Å³/atom. The density of states at the Fermi level is 1.2 states/eV/f.u. The value obtained for the spin magnetization is 2.3 μB per formula unit.

It has space group Fm-3m (No. 225), with a = 5.3238 Å, b = 5.3238 Å, c = 5.3238 Å, α = 90.00°, β = 90.00° and γ = 90.00°. The inequivalent atoms are Na at (0.0000, 0.0000, 0.0000), Mn at (0.0000, 0.0000, 0.5000) and N at (0.2500, 0.2500, 0.2500).


Energies relative to the minimum, eV/atom: version A 0.000; version B 1.037


Version A
NaMnSeN2 after structural relaxation. Source: Alexandria via LeMat-Bulk, functional PBE.

The calculation puts the volume at 14.13 Å³/atom. The density of states at the Fermi level is 4.4 states/eV/f.u. The value obtained for the spin magnetization is 0.0 μB per formula unit.

It has space group P4/mmm (No. 123), with a = 3.6813 Å, b = 3.6813 Å, c = 5.2139 Å, α = 90.00°, β = 90.00° and γ = 90.00°. The inequivalent atoms are Na at (0.0000, 0.0000, 0.0000), Mn at (0.5000, 0.5000, 0.5000), Se at (0.5000, 0.5000, 0.0000) and N at (0.0000, 0.5000, 0.5000).


Version B
NaMnSeN2 after structural relaxation. Source: Alexandria via LeMat-Bulk, functional PBE.

The calculation puts the volume at 16.44 Å³/atom. The density of states at the Fermi level is 7.8 states/eV/f.u. The value obtained for the spin magnetization is 1.4 μB per formula unit.

It has space group P4/mmm (No. 123), with a = 4.0234 Å, b = 4.0234 Å, c = 5.0777 Å, α = 90.00°, β = 90.00° and γ = 90.00°. The inequivalent atoms are Na at (0.0000, 0.0000, 0.0000), Mn at (0.5000, 0.5000, 0.5000), Se at (0.0000, 0.0000, 0.5000) and N at (0.0000, 0.5000, 0.0000).


Energies relative to the minimum, eV/atom: version A 0.000; version B 2.261


Version A
MnNb3N after structural relaxation. Source: Alexandria via LeMat-Bulk, functional PBE.

The calculation puts the volume at 14.98 Å³/atom. The density of states at the Fermi level is 7.0 states/eV/f.u. The value obtained for the spin magnetization is 0.0 μB per formula unit.

It has space group Pm-3m (No. 221), with a = 4.2153 Å, b = 4.2153 Å, c = 4.2153 Å, α = 90.00°, β = 90.00° and γ = 90.00°. The inequivalent atoms are Mn at (0.0000, 0.0000, 0.0000), Nb at (0.0000, 0.5000, 0.5000) and N at (0.5000, 0.5000, 0.5000).


Version B
MnNb3N after structural relaxation. Source: Alexandria via LeMat-Bulk, functional PBE.

The calculation puts the volume at 18.75 Å³/atom. The density of states at the Fermi level is 6.3 states/eV/f.u. The value obtained for the spin magnetization is 0.0 μB per formula unit.

It has space group Pm-3m (No. 221), with a = 4.5425 Å, b = 4.5425 Å, c = 4.5425 Å, α = 90.00°, β = 90.00° and γ = 90.00°. The inequivalent atoms are Mn at (0.0000, 0.0000, 0.0000), Nb at (0.0000, 0.0000, 0.5000) and N at (0.5000, 0.5000, 0.5000).


Energies relative to the minimum, eV/atom: version A 0.000; version B 1.862


Version A
MnNbS2N after structural relaxation. Source: Alexandria via LeMat-Bulk, functional PBE.

The calculation puts the volume at 18.92 Å³/atom. The density of states at the Fermi level is 1.6 states/eV/f.u. The value obtained for the spin magnetization is 5.1 μB per formula unit.

It has space group P4/mmm (No. 123), with a = 4.9335 Å, b = 4.9335 Å, c = 3.8865 Å, α = 90.00°, β = 90.00° and γ = 90.00°. The inequivalent atoms are Mn at (0.0000, 0.0000, 0.0000), Nb at (0.5000, 0.5000, 0.5000), S at (0.0000, 0.5000, 0.5000) and N at (0.5000, 0.5000, 0.0000).


Version B
MnNbS2N after structural relaxation. Source: Alexandria via LeMat-Bulk, functional PBE.

The calculation puts the volume at 14.82 Å³/atom. The density of states at the Fermi level is 4.0 states/eV/f.u. The value obtained for the spin magnetization is 3.1 μB per formula unit.

It has space group P4/mmm (No. 123), with a = 4.6379 Å, b = 4.6379 Å, c = 3.4447 Å, α = 90.00°, β = 90.00° and γ = 90.00°. The inequivalent atoms are Mn at (0.0000, 0.0000, 0.0000), Nb at (0.5000, 0.5000, 0.5000), S at (0.0000, 0.5000, 0.0000) and N at (0.0000, 0.0000, 0.5000).


Energies relative to the minimum, eV/atom: version A 0.000; version B 0.147